Computed, not measured: a relaxed structure of HfAlReRh at the PBE level of DFT.

Cell lengths 4.4754, 4.4754, 4.4754 Å; angles 60.00, 60.00, 60.00 degrees
Fractional coordinates of all 4 atoms:
Re 0.0000 0.0000 0.0000
Hf 0.7500 0.7500 0.7500
Al 0.2500 0.2500 0.2500
Rh 0.5000 0.5000 0.5000

ΔH_f (0 K): -0.5395 eV per atom
Uncorrected energy: -8.913 eV/atom
SG: F-43m, No. 216
Density: 13.0 g cm⁻³

Computed, not measured: a relaxed structure of MgTl3Rh at the PBE level of DFT.

Cell lengths 5.3095, 5.3095, 5.3095 Å; angles 90.00, 90.00, 90.00 degrees
Fractional coordinates of all 5 atoms:
Tl 0.0000 0.5000 0.0000
Tl 0.0000 0.0000 0.5000
Tl 0.5000 0.0000 0.0000
Rh 0.0000 0.0000 0.0000
Mg 0.5000 0.5000 0.5000

ΔH_f (0 K): 0.1242 eV per atom
Uncorrected energy: -3.085 eV/atom
SG: Pm-3m, No. 221
Density: 8.2 g cm⁻³
Excess energy over the best structure of this formula in the dataset: 0.000 eV/atom

Computed, not measured: a relaxed structure of Pm2CuGe4Au3 at the PBE level of DFT.

Cell lengths 4.2703, 4.2703, 11.1348 Å; angles 90.00, 90.00, 90.00 degrees
Fractional coordinates of all 10 atoms:
Pm 0.5000 0.0000 0.2703
Pm 0.0000 0.5000 0.7297
Cu 0.5000 0.5000 0.5000
Ge 0.5000 0.5000 0.0000
Ge 0.0000 0.0000 0.0000
Ge 0.5000 0.0000 0.6286
Ge 0.0000 0.5000 0.3714
Au 0.0000 0.0000 0.5000
Au 0.5000 0.0000 0.8543
Au 0.0000 0.5000 0.1457

ΔH_f (0 K): -0.5159 eV per atom
Uncorrected energy: -4.706 eV/atom
SG: P-4m2, No. 115
Density: 10.1 g cm⁻³

Computed, not measured: a relaxed structure of NdNi6Ge4 at the PBE level of DFT.

Cell lengths 3.8429, 6.8374, 6.8374 Å; angles 120.00, 90.00, 90.00 degrees
Fractional coordinates of all 11 atoms:
Nd 0.0000 0.0000 0.0000
Ni 0.0000 0.5372 0.0744
Ni 0.5000 0.5863 0.7931
Ni 0.0000 0.5372 0.4628
Ni 0.0000 0.9256 0.4628
Ni 0.5000 0.2069 0.7931
Ni 0.5000 0.2069 0.4137
Ge 0.5000 0.8056 0.6111
Ge 0.5000 0.3889 0.1944
Ge 0.5000 0.8056 0.1944
Ge 0.0000 0.3333 0.6667

ΔH_f (0 K): -0.4761 eV per atom
Uncorrected energy: -5.742 eV/atom
SG: P-6m2, No. 187
Density: 8.4 g cm⁻³

Computed, not measured: a relaxed structure of Rb3NdTm2Se6 at the PBE level of DFT.

Cell lengths 7.3704, 7.3704, 8.3690 Å; angles 98.45, 98.45, 120.00 degrees
Fractional coordinates of all 12 atoms:
Rb 0.1646 0.8354 0.5000
Rb 0.8354 0.1646 0.5000
Rb 0.5000 0.5000 0.5000
Nd 0.0000 0.0000 0.0000
Tm 0.3331 0.6669 0.0000
Tm 0.6669 0.3331 0.0000
Se 0.9347 0.5904 0.8042
Se 0.7208 0.7208 0.1952
Se 0.0653 0.4096 0.1958
Se 0.5904 0.9347 0.8042
Se 0.2792 0.2792 0.8048
Se 0.4096 0.0653 0.1958

Uncorrected energy: -4.851 eV/atom
SG: C2/m, No. 12
Density: 5.3 g cm⁻³

Computed, not measured: a relaxed structure of Nd4Cu2Sn at the PBE level of DFT.

Cell lengths 5.0430, 5.0430, 9.6169 Å; angles 74.80, 74.80, 60.00 degrees
Fractional coordinates of all 7 atoms:
Nd 0.3826 0.3826 0.8521
Nd 0.2036 0.2036 0.3892
Nd 0.7964 0.7964 0.6108
Nd 0.6174 0.6174 0.1479
Cu 0.0985 0.0985 0.7045
Cu 0.9015 0.9015 0.2955
Sn 0.0000 0.0000 0.0000

ΔH_f (0 K): -0.1553 eV per atom
Uncorrected energy: -4.622 eV/atom
SG: R-3m, No. 166
Density: 6.8 g cm⁻³

Computed, not measured: a relaxed structure of Sm2ScBe at the PBE level of DFT.

Cell lengths 3.5026, 3.5026, 8.2148 Å; angles 90.00, 90.00, 90.00 degrees
Fractional coordinates of all 4 atoms:
Sc 0.5000 0.5000 0.5000
Be 0.5000 0.5000 0.0000
Sm 0.0000 0.0000 0.7938
Sm 0.0000 0.0000 0.2062

ΔH_f (0 K): 0.1231 eV per atom
Uncorrected energy: -4.751 eV/atom
SG: P4/mmm, No. 123
Density: 5.8 g cm⁻³

Computed, not measured: a relaxed structure of NaMnPt4 at the PBE level of DFT.

Cell lengths 5.3086, 5.3086, 5.3086 Å; angles 60.00, 60.00, 60.00 degrees
Site moments in Bohr magnetons follow the coordinates.
Fractional coordinates of all 6 atoms:
Na 0.2500 0.2500 0.2500  0.00
Mn 0.0000 0.0000 0.0000  4.26
Pt 0.6250 0.6250 0.1249  0.08
Pt 0.6250 0.1249 0.6250  0.08
Pt 0.6250 0.6250 0.6250  0.08
Pt 0.1249 0.6250 0.6250  0.08

ΔH_f (0 K): -0.1890 eV per atom
Uncorrected energy: -5.964 eV/atom
SG: F-43m, No. 216
Density: 13.5 g cm⁻³

Computed, not measured: a relaxed structure of KGa3Tc at the PBE level of DFT.

Cell lengths 14.2589, 8.0982, 8.0982 Å; angles 154.68, 145.54, 34.46 degrees
Fractional coordinates of all 10 atoms:
K 0.8678 0.0242 0.9758
K 0.1322 0.9758 0.0242
Tc 0.5146 0.0874 0.9126
Tc 0.4854 0.9126 0.0874
Ga 0.6714 0.3619 0.6381
Ga 0.3286 0.6381 0.3619
Ga 0.1443 0.1782 0.8218
Ga 0.8557 0.8218 0.1782
Ga 0.5766 0.6488 0.3512
Ga 0.4234 0.3512 0.6488

ΔH_f (0 K): 0.0824 eV per atom
Uncorrected energy: -4.026 eV/atom
SG: C2/m, No. 12
Density: 5.4 g cm⁻³
Excess energy over the best structure of this formula in the dataset: 0.259 eV/atom

Computed, not measured: a relaxed structure of NdAl2Cu at the PBE level of DFT.

Cell lengths 5.8158, 6.8773, 15.7689 Å; angles 90.00, 90.00, 90.00 degrees
Fractional coordinates of all 32 atoms:
Nd 0.4885 0.2500 0.1394
Nd 0.9885 0.7500 0.3606
Nd 0.5115 0.7500 0.8606
Nd 0.0115 0.2500 0.6394
Nd 0.7773 0.2500 0.3943
Nd 0.2773 0.7500 0.1057
Nd 0.2227 0.7500 0.6057
Nd 0.7227 0.2500 0.8943
Al 0.9835 0.0557 0.2138
Al 0.4835 0.9443 0.2862
Al 0.0165 0.5557 0.7862
Al 0.5165 0.4443 0.7138
Al 0.0165 0.9443 0.7862
Al 0.5165 0.0557 0.7138
Al 0.9835 0.4443 0.2138
Al 0.4835 0.5557 0.2862
Al 0.7873 0.5564 0.0412
Al 0.2873 0.4436 0.4588
Al 0.2127 0.0564 0.9588
Al 0.7127 0.9436 0.5412
Al 0.2127 0.4436 0.9588
Al 0.7127 0.5564 0.5412
Al 0.7873 0.9436 0.0412
Al 0.2873 0.0564 0.4588
Cu 0.2550 0.2500 0.3216
Cu 0.7550 0.7500 0.1784
Cu 0.7450 0.7500 0.6784
Cu 0.2450 0.2500 0.8216
Cu 0.0031 0.2500 0.0737
Cu 0.5031 0.7500 0.4263
Cu 0.9969 0.7500 0.9263
Cu 0.4969 0.2500 0.5737

ΔH_f (0 K): -0.3941 eV per atom
Uncorrected energy: -4.481 eV/atom
SG: Pnma, No. 62
Density: 5.5 g cm⁻³

Computed, not measured: a relaxed structure of MgBe2Te3 at the PBE level of DFT.

Cell lengths 7.3135, 7.3135, 7.2001 Å; angles 99.09, 99.09, 120.42 degrees
Fractional coordinates of all 12 atoms:
Mg 0.0974 0.9239 0.5027
Mg 0.9239 0.0974 0.0027
Be 0.5932 0.4267 0.0079
Be 0.7564 0.2707 0.5085
Be 0.4267 0.5932 0.5079
Be 0.2707 0.7564 0.0085
Te 0.0548 0.2580 0.4056
Te 0.2580 0.0548 0.9056
Te 0.8830 0.4186 0.8748
Te 0.4186 0.8830 0.3748
Te 0.5259 0.6864 0.8717
Te 0.6864 0.5259 0.3717

Uncorrected energy: -3.573 eV/atom
SG: Cc, No. 9
Density: 4.5 g cm⁻³

Computed, not measured: a relaxed structure of W4SeCl2 at the PBE level of DFT.

Cell lengths 4.6560, 4.6560, 6.9509 Å; angles 70.43, 70.43, 90.00 degrees
Fractional coordinates of all 7 atoms:
Se 0.0000 0.0000 0.0000
W 0.7949 0.7949 0.4102
W 0.2051 0.2051 0.5898
W 0.0000 0.5000 0.0000
W 0.5000 0.0000 0.0000
Cl 0.6089 0.6089 0.7822
Cl 0.3911 0.3911 0.2178

Uncorrected energy: -6.439 eV/atom
SG: I4/mmm, No. 139
Density: 11.1 g cm⁻³